Record 1
# PBE-GGA ThAsIrS, optimized geometry
# * DOS at the Fermi energy: 1.85 states/eV/f.u.
# * total DFT energy (no corrections): -58.9 eV per cell
# * ΔE_f (raw): -1092 meV per atom
# * spin magnetization: 0.00 μB/atom
data_ThAsIrS
_chemical_formula_sum 'Th2 As2 Ir2 S2'
_space_group_name_H-M_alt 'P 4/n m m'
_space_group_IT_number 129
_cell_length_a 4.2715
_cell_length_b 4.2715
_cell_length_c 8.8159
_cell_angle_alpha 90.00
_cell_angle_beta 90.00
_cell_angle_gamma 90.00
loop_
_space_group_symop_operation_xyz
'x,y,z'
'-x,-y,-z'
'-y+1/2,x,z'
'y+1/2,-x,-z'
'-x+1/2,-y+1/2,z'
'x+1/2,y+1/2,-z'
'y,-x+1/2,z'
'-y,x+1/2,-z'
'x+1/2,-y,-z'
'-x+1/2,y,z'
'-y,-x,-z'
'y,x,z'
'-x,y+1/2,-z'
'x,-y+1/2,z'
'y+1/2,x+1/2,-z'
'-y+1/2,-x+1/2,z'
loop_
_atom_site_label
_atom_site_type_symbol
_atom_site_fract_x
_atom_site_fract_y
_atom_site_fract_z
Th1 Th 0.2500 0.2500 0.2045
As1 As 0.2500 0.2500 0.6624
Ir1 Ir 0.2500 0.7500 0.5000
S1 S 0.2500 0.7500 0.0000

---

Record 2
# PBE-GGA MgZrSnP2, optimized geometry
# * energy relative to the elements: 95 kJ per mole of atoms
# * DOS at the Fermi energy: 3.84 states/eV/f.u.
# * total DFT energy (no corrections): -20.1 eV per cell
# * spin magnetization: 0.21 μB/atom
data_MgZrSnP2
_chemical_formula_sum 'Mg1 Zr1 Sn1 P2'
_space_group_name_H-M_alt 'P 4/m m m'
_space_group_IT_number 123
_space_group_name_Hall '-P 4 2'
_cell_length_a 5.0919
_cell_length_b 5.0919
_cell_length_c 4.9403
_cell_angle_alpha 90.00
_cell_angle_beta 90.00
_cell_angle_gamma 90.00
loop_
_atom_site_label
_atom_site_type_symbol
_atom_site_fract_x
_atom_site_fract_y
_atom_site_fract_z
Mg1 Mg 0.0000 0.0000 0.0000
Zr1 Zr 0.5000 0.5000 0.0000
Sn1 Sn 0.0000 0.0000 0.5000
P1 P 0.0000 0.5000 0.5000

---

> Among the records above, which one has the lowest spin magnetization?

ThAsIrS

---

Please write out number 1 again, unchanged.
# PBE-GGA ThAsIrS, optimized geometry
# * DOS at the Fermi energy: 1.85 states/eV/f.u.
# * total DFT energy (no corrections): -58.9 eV per cell
# * ΔE_f (raw): -1092 meV per atom
# * spin magnetization: 0.00 μB/atom
data_ThAsIrS
_chemical_formula_sum 'Th2 As2 Ir2 S2'
_space_group_name_H-M_alt 'P 4/n m m'
_space_group_IT_number 129
_cell_length_a 4.2715
_cell_length_b 4.2715
_cell_length_c 8.8159
_cell_angle_alpha 90.00
_cell_angle_beta 90.00
_cell_angle_gamma 90.00
loop_
_space_group_symop_operation_xyz
'x,y,z'
'-x,-y,-z'
'-y+1/2,x,z'
'y+1/2,-x,-z'
'-x+1/2,-y+1/2,z'
'x+1/2,y+1/2,-z'
'y,-x+1/2,z'
'-y,x+1/2,-z'
'x+1/2,-y,-z'
'-x+1/2,y,z'
'-y,-x,-z'
'y,x,z'
'-x,y+1/2,-z'
'x,-y+1/2,z'
'y+1/2,x+1/2,-z'
'-y+1/2,-x+1/2,z'
loop_
_atom_site_label
_atom_site_type_symbol
_atom_site_fract_x
_atom_site_fract_y
_atom_site_fract_z
Th1 Th 0.2500 0.2500 0.2045
As1 As 0.2500 0.2500 0.6624
Ir1 Ir 0.2500 0.7500 0.5000
S1 S 0.2500 0.7500 0.0000